# 1
## Li2HgBi (PBE)

Data for a relaxed structure of Li2HgBi.

Cell lengths 7.7446, 7.7446, 6.3103 Å; angles 52.15, 52.15, 90.00 degrees
Closest atoms and distances in Å follow each position.
Atoms (fractional coordinates):
Li 0.6105 0.1250 0.2500  2 Hg 2.77, 2 Bi 2.93
Li 0.1395 0.6250 0.2500  2 Hg 2.77, 2 Bi 2.93
Li 0.3750 0.3895 0.7500  2 Hg 2.77, 2 Bi 2.93
Li 0.8750 0.8605 0.7500  2 Hg 2.77, 2 Bi 2.93
Bi 0.0000 0.0000 0.0000  4 Li 2.93, 2 Hg 3.14
Bi 0.7500 0.2500 0.5000  4 Li 2.93, 2 Hg 3.14
Hg 0.5000 0.5000 0.0000  4 Li 2.77
Hg 0.2500 0.7500 0.5000  4 Li 2.77

Computed properties:
* formation energy: -0.9 eV per formula unit

# 2
## Li4Hg3Bi (PBE)

Data for a relaxed structure of Li4Hg3Bi.

Cell lengths 4.9696, 4.9698, 7.4360 Å; angles 109.67, 109.52, 90.00 degrees
Closest atoms and distances in Å follow each position.
Atoms (fractional coordinates):
Bi 0.5000 0.0000 0.0000  8 Li 2.97-2.98, 2 Hg 3.30
Hg 0.0000 0.5000 0.0000  8 Li 2.97-2.98, 2 Hg 3.25
Hg 0.7521 0.2530 0.5042  8 Li 2.96-2.99, 1 Hg 3.25, 1 Bi 3.30
Hg 0.2479 0.7470 0.4958  8 Li 2.96-2.99, 1 Hg 3.25, 1 Bi 3.30
Li 0.3754 0.3756 0.7507  6 Hg 2.96-2.99, 2 Bi 2.97-2.98, 2 Li 3.26-3.28
Li 0.6246 0.6244 0.2493  6 Hg 2.96-2.99, 2 Bi 2.97-2.98, 2 Li 3.26-3.28
Li 0.1246 0.1243 0.2492  6 Hg 2.96-2.99, 2 Bi 2.97, 2 Li 3.26-3.28
Li 0.8754 0.8757 0.7508  6 Hg 2.96-2.99, 2 Bi 2.97, 2 Li 3.26-3.28

Computed properties:
* formation energy: -3.1 eV per formula unit